## 1
This record from Alexandria via LeMat-Bulk describes a relaxed structure of TiMo2Br2. The functional is PBE-GGA.

Geometry as POSCAR:
```
TiMo2Br2
1.0
7.601 0.000 0.000
0.000 7.601 0.000
0.000 0.000 3.142
Mo Ti Br
4 2 4
Direct
0.113 0.613 0.500
0.887 0.387 0.500
0.613 0.887 0.500
0.387 0.113 0.500
0.500 0.500 0.000
0.000 0.000 0.000
0.309 0.809 0.000
0.691 0.191 0.000
0.191 0.309 0.000
0.809 0.691 0.000
```

Properties
Its total magnetization is 0.00 μB per atom.


## 2
This record from Alexandria via LeMat-Bulk describes a relaxed structure of TiMo2Br2. The functional is PBE-GGA.

Geometry as POSCAR:
```
TiMo2Br2
1.0
-1.417 -3.879 -1.510
3.794 -1.860 1.216
-0.832 -3.946 4.513
Mo Br Ti
2 2 1
Direct
0.750 0.250 0.500
0.250 0.750 0.500
0.364 0.364 0.273
0.636 0.636 0.727
0.000 0.000 0.000
```

Properties
Its total magnetization is 0.33 μB per atom.


Most favorable structure: 1. The second most favorable one is 0.112 eV/atom above it.


## 1
This record from Alexandria via LeMat-Bulk describes a relaxed structure of TlMoBr2. The functional is PBE-GGA.

Geometry as POSCAR:
```
TlMoBr2
1.0
7.127 0.026 0.000
4.428 5.585 0.000
-5.777 -2.805 3.090
Tl Br Mo
1 2 1
Direct
0.750 0.250 0.500
0.000 0.000 0.000
0.250 0.750 0.500
0.500 0.500 0.000
```

Properties
Its total magnetization is 1.25 μB per atom.


## 2
This record from Alexandria via LeMat-Bulk describes a relaxed structure of TlMoBr2. The functional is PBE-GGA.

Geometry as POSCAR:
```
TlMoBr2
1.0
3.748 0.000 0.000
0.000 3.747 0.000
0.000 0.000 7.962
Br Mo Tl
2 1 1
Direct
0.000 0.000 0.471
0.000 0.000 0.029
0.500 0.500 0.250
0.500 0.500 0.750
```

Properties
Its total magnetization is 1.25 μB per atom.


Most favorable structure: 2. The second most favorable one is 0.051 eV/atom above it.


## 1
This record from Alexandria via LeMat-Bulk describes a relaxed structure of TlMoBr2. The functional is PBE-GGA.

Geometry as POSCAR:
```
TlMoBr2
1.0
-0.966 3.858 -0.314
-1.932 -0.200 3.480
6.713 1.994 3.840
Tl Br Mo
1 2 1
Direct
0.500 0.500 0.963
0.000 0.000 0.746
0.500 0.500 0.391
0.000 0.000 0.400
```

Properties
Its total magnetization is 1.12 μB per atom.


## 2
This record from Alexandria via LeMat-Bulk describes a relaxed structure of TlMoBr2. The functional is PBE-GGA.

Geometry as POSCAR:
```
TlMoBr2
1.0
-4.386 -3.098 0.761
-4.387 2.062 2.433
-4.507 0.929 -2.870
Mo Br Tl
1 2 1
Direct
0.000 0.000 0.000
0.750 0.750 0.750
0.250 0.250 0.250
0.500 0.500 0.500
```

Properties
Its total magnetization is 1.25 μB per atom.


Most favorable structure: 1. The second most favorable one is 0.123 eV/atom above it.


## 1
This record from Alexandria via LeMat-Bulk describes a relaxed structure of TlMoBr2. The functional is PBE-GGA.

Geometry as POSCAR:
```
TlMoBr2
1.0
-2.522 0.285 2.243
0.650 -0.232 3.316
0.890 10.305 2.333
Mo Br Tl
1 2 1
Direct
0.750 0.750 0.750
0.475 0.475 0.580
0.025 0.025 0.920
0.250 0.250 0.250
```

Properties
Its total magnetization is 0.00 μB per atom.


## 2
This record from Alexandria via LeMat-Bulk describes a relaxed structure of TlMoBr2. The functional is PBE-GGA.

Geometry as POSCAR:
```
TlMoBr2
1.0
-0.676 -4.217 3.263
-0.457 -4.944 -2.058
3.974 -3.559 0.650
Br Tl Mo
2 1 1
Direct
0.000 0.000 0.000
0.250 0.250 0.250
0.750 0.750 0.750
0.500 0.500 0.500
```

Properties
Its total magnetization is 1.25 μB per atom.


## 3
This record from Alexandria via LeMat-Bulk describes a relaxed structure of TlMoBr2. The functional is PBE-GGA.

Geometry as POSCAR:
```
TlMoBr2
1.0
9.394 -0.008 -0.005
8.737 3.450 -0.005
8.737 1.659 3.025
Mo Br Tl
1 2 1
Direct
0.503 0.503 0.503
0.226 0.226 0.226
0.013 0.013 0.013
0.757 0.757 0.757
```

Properties
Its total magnetization is 0.10 μB per atom.


## 4
This record from Alexandria via LeMat-Bulk describes a relaxed structure of TlMoBr2. The functional is PBE-GGA.

Geometry as POSCAR:
```
TlMoBr2
1.0
-0.472 1.638 -3.077
-3.323 -1.150 -0.103
-2.464 6.762 3.977
Tl Mo Br
1 1 2
Direct
0.500 0.500 0.736
0.000 0.000 0.469
0.500 0.500 0.329
0.000 0.000 0.966
```

Properties
Its total magnetization is 0.66 μB per atom.


Most favorable structure: 1. The second most favorable one is 0.068 eV/atom above it.


## 1
This record from Alexandria via LeMat-Bulk describes a relaxed structure of TlMoBr2. The functional is PBE-GGA.

Geometry as POSCAR:
```
TlMoBr2
1.0
7.831 -0.003 -0.041
7.015 3.481 -0.041
1.292 0.303 4.257
Br Tl Mo
2 1 1
Direct
0.821 0.821 0.679
0.014 0.014 0.986
0.187 0.187 0.314
0.479 0.479 0.521
```

Properties
Its total magnetization is 1.06 μB per atom.


## 2
This record from Alexandria via LeMat-Bulk describes a relaxed structure of TlMoBr2. The functional is PBE-GGA.

Geometry as POSCAR:
```
TlMoBr2
1.0
-0.723 3.419 1.088
-1.386 -2.433 6.724
4.153 -0.996 5.888
Br Tl Mo
2 1 1
Direct
0.000 0.110 0.109
0.000 0.390 0.391
0.500 0.750 0.750
0.500 0.250 0.250
```

Properties
Its total magnetization is 0.69 μB per atom.


Most favorable structure: 2. The second most favorable one is 0.241 eV/atom above it.


## 1
This record from Alexandria via LeMat-Bulk describes a relaxed structure of Tl3MoBr. The functional is PBE-GGA.

Geometry as POSCAR:
```
Tl3MoBr
1.0
5.533 0.000 0.000
0.000 5.533 0.000
0.000 0.000 5.533
Tl Mo Br
3 1 1
Direct
0.000 0.500 0.000
0.000 0.000 0.500
0.500 0.000 0.000
0.000 0.000 0.000
0.500 0.500 0.500
```

Properties
Its total magnetization is 0.53 μB per atom.


## 2
This record from Alexandria via LeMat-Bulk describes a relaxed structure of Tl3MoBr. The functional is PBE-GGA.

Geometry as POSCAR:
```
Tl3MoBr
1.0
6.002 0.000 0.000
0.000 6.002 0.000
0.000 0.000 6.002
Mo Tl Br
1 3 1
Direct
0.500 0.500 0.500
0.000 0.500 0.000
0.000 0.000 0.500
0.500 0.000 0.000
0.000 0.000 0.000
```

Properties
Its total magnetization is 0.96 μB per atom.


Most favorable structure: 1. The second most favorable one is 0.568 eV/atom above it.